Entry 1:
4
Lattice="-3.6369 2.6330 -4.2180 1.4188 -0.0950 -5.9941 -1.0595 -3.3508 5.0597" Properties=species:S:1:pos:R:3 comment="CaZr2W, relaxed, DFT PBE" sg="No. 44" de_polymorph_ev_per_fu=1.11 dos_at_fermi_per_ev_atom=1.344 pbc="T T T"
Ca -1.0498 1.2012 -4.8333
Zr -0.1046 0.1197 -0.4814
Zr -2.8984 0.2706 -2.1123
W -0.3339 -1.1354 -2.8314

---

Entry 2:
4
Lattice="4.7156 0.0311 0.0445 3.5191 3.1392 0.0445 1.3250 0.5101 5.6897" Properties=species:S:1:pos:R:3 comment="MgBeIn2, relaxed, DFT PBE" sg="No. 12" de_polymorph_ev_per_fu=0.15 dos_at_fermi_per_ev_atom=0.327 pbc="T T T"
Be 2.3899 0.9201 1.4447
Mg 7.1697 2.7603 4.3341
In 8.1331 3.1312 0.2722
In 4.8814 1.8793 2.7064

---

Entry 3:
8
Lattice="3.2369 0.0000 -0.0130 0.0000 2.9093 0.0000 -0.2210 0.0000 5.6102" Properties=species:S:1:pos:R:3 comment="B, relaxed, DFT PBE" sg="No. 12" de_polymorph_ev_per_fu=0.21 dos_at_fermi_per_ev_atom=0.090 pbc="T T T"
B 0.5384 0.0000 2.2584
B 2.4775 0.0000 3.3387
B 0.4279 1.4547 5.0635
B 2.5880 1.4547 0.5336
B 0.9037 0.0000 4.0964
B 2.1122 0.0000 1.5008
B 1.0142 1.4547 1.2913
B 2.0016 1.4547 4.3059